# GGA-PBE Ba2Tl2Ge, relaxed
# Spin magnetization in μB/f.u.: 0.00
# Energy of formation from the pure elements in eV/atom: -0.405
# Excess energy over the best structure of this formula in the dataset in eV per formula unit: 0.00
# D(E_F) in states/eV/atom: 0.50
# Crystal system: monoclinic
data_Ba2Tl2Ge
_symmetry_space_group_name_H-M 'C 1 2/m 1'
_symmetry_Int_Tables_number 12
_symmetry_space_group_name_Hall '-C 2y'
_cell_length_a 13.1722
_cell_length_b 4.6758
_cell_length_c 13.0709
_cell_angle_alpha 90.00
_cell_angle_beta 113.95
_cell_angle_gamma 90.00
loop_
_atom_site_label
_atom_site_type_symbol
_atom_site_fract_x
_atom_site_fract_y
_atom_site_fract_z
Ba1 Ba 0.0949 0.0000 0.3883
Ba2 Ba 0.2066 0.5000 0.1530
Tl1 Tl 0.0743 0.0000 0.9347
Tl2 Tl 0.1269 0.5000 0.6164
Ge1 Ge 0.0524 0.5000 0.8002